# GGA-PBE KThF6, relaxed
data_KThF6
_space_group_name_H-M_alt 'F m -3 m'
_space_group_IT_number 225
_space_group_name_Hall '-F 4 2 3'
_cell_length_a 9.7045
_cell_length_b 9.7045
_cell_length_c 9.7045
_cell_angle_alpha 90.00
_cell_angle_beta 90.00
_cell_angle_gamma 90.00
loop_
_atom_site_label
_atom_site_fract_x
_atom_site_fract_y
_atom_site_fract_z
_atom_site_occupancy
K1 0.0000 0.0000 0.0000 1
Th1 0.0000 0.0000 0.5000 1
F1 0.0000 0.0000 0.2729 1
# E_tot	-5.663	eV per atom
# total moment	1.1	μB/f.u.